DFT (GGA-PBE) results for crystalline Zn2Ir2Pb at its relaxed geometry.

Cell lengths 7.5621, 7.5621, 2.9338 Å; angles 90.00, 90.00, 90.00 degrees
Space group P4/mbm (No. 127)
Asymmetric unit:
Zn  0.1233  0.3767  0.0000 (multiplicity 4)
Ir  0.1700  0.6700  0.5000 (multiplicity 4)
Pb  0.0000  0.0000  0.0000 (multiplicity 2)

Properties
- E_tot: -4.64 eV/atom

---

DFT (GGA-PBE) results for crystalline TeOs2Pt at its relaxed geometry.

Cell lengths 2.8412, 4.9440, 9.7471 Å; angles 90.00, 90.00, 90.00 degrees
Space group Cmmm (No. 65)
Asymmetric unit:
Te  0.0000  0.0000  0.0000 (multiplicity 2)
Os  0.0000  0.5000  0.2630 (multiplicity 4)
Pt  0.0000  0.0000  0.5000 (multiplicity 2)

Properties
- Uncorrected formation energy: 1.024 eV/atom
- E_tot: -6.89 eV/atom

---

DFT (GGA-PBE) results for crystalline CsNaPb at its relaxed geometry.

Cell lengths 4.8740, 26.7821, 4.8597 Å; angles 90.00, 90.00, 90.00 degrees
Space group Cmcm (No. 63)
Asymmetric unit:
Cs  0.0000  0.1665  0.2500 (multiplicity 4)
Na  0.0000  0.0430  0.7500 (multiplicity 4)
Pb  0.0000  0.4595  0.7500 (multiplicity 4)

Properties
- E_tot: -2.05 eV/atom

---

DFT (GGA-PBE) results for crystalline BaNiSb2 at its relaxed geometry.

Cell lengths 5.6563, 5.6563, 16.5056 Å; angles 90.00, 90.00, 90.00 degrees
Space group I-42d (No. 122)
Asymmetric unit:
Ba  0.0000  0.0000  0.0000 (multiplicity 4)
Ni  0.0000  0.0000  0.5000 (multiplicity 4)
Sb  0.0815  0.2500  0.6250 (multiplicity 8)

Properties
- Uncorrected formation energy: -0.358 eV/atom
- E_tot: -4.35 eV/atom

---

Number 1: calculated volume 16.78 Å³/atom. Number 2: calculated volume 17.11 Å³/atom. Number 3: calculated volume 52.86 Å³/atom. Number 4: calculated volume 33.00 Å³/atom.